# MgAsRu

A relaxed MgAsRu crystal (PBE-GGA, Alexandria).

Structure (extended XYZ):
```
6
Lattice="-2.486 -0.141 3.354 1.869 -3.528 1.237 3.998 3.202 3.105" Properties=species:S:1:pos:R:3 pbc="T T T"
As 3.208 2.749 4.574
As 1.029 -0.583 5.419
Mg -0.777 -2.029 4.010
Mg 1.019 0.994 2.877
Ru 3.208 0.236 4.467
Ru 1.029 1.930 5.526
```

Computed properties:
The formation energy from the elements comes out at -41 kJ per mole of atoms. The crystal system is tetragonal. The total energy is -16.78 eV/f.u. The total magnetization comes out at 0.00 μB per cell.

# SmGa4PdRu2

A relaxed SmGa4PdRu2 crystal (PBE-GGA, Alexandria).

Structure (extended XYZ):
```
8
Lattice="4.279 0.000 0.000 2.139 3.705 0.000 2.139 1.235 8.647" Properties=species:S:1:pos:R:3 pbc="T T T"
Ga 2.139 1.235 5.307
Ga 4.279 2.470 1.717
Ga 6.418 3.705 3.340
Ga 4.279 2.470 6.930
Ru 2.139 1.235 2.624
Ru 6.418 3.705 6.022
Sm 0.000 0.000 0.000
Pd 4.279 2.470 4.323
```

Computed properties:
The formation energy from the elements comes out at -46 kJ per mole of atoms. The crystal system is trigonal. The total energy is -44.41 eV/f.u. The total magnetization comes out at 0.00 μB per cell.

# Ce2CuSi4Pd3

A relaxed Ce2CuSi4Pd3 crystal (PBE-GGA, Alexandria).

Structure (extended XYZ):
```
10
Lattice="4.212 0.000 0.000 0.000 4.212 0.000 0.000 0.000 9.895" Properties=species:S:1:pos:R:3 pbc="T T T"
Si 0.000 2.106 3.655
Si 2.106 2.106 0.000
Si 0.000 0.000 0.000
Si 2.106 0.000 6.240
Pd 0.000 2.106 1.226
Pd 0.000 0.000 4.948
Pd 2.106 0.000 8.670
Ce 0.000 2.106 7.405
Ce 2.106 0.000 2.490
Cu 2.106 2.106 4.948
```

Computed properties:
The uncorrected formation energy comes out at -0.79 eV/atom. The crystal system is tetragonal. The total energy is -61.11 eV/f.u. The total magnetization comes out at 0.46 μB per cell.

# Dy5HoIn4

A relaxed Dy5HoIn4 crystal (PBE-GGA, Alexandria).

Structure (extended XYZ):
```
10
Lattice="-3.245 -1.065 -1.028 1.480 -2.347 -2.242 -0.042 -15.000 15.675" Properties=species:S:1:pos:R:3 pbc="T T T"
Dy -0.904 -9.206 6.203
Dy -0.888 -3.417 0.153
Dy -0.912 -12.106 9.234
Dy -0.920 -14.995 12.253
Dy -0.896 -6.305 3.171
In -0.033 -11.844 12.378
In -0.017 -6.051 6.323
In -0.025 -8.949 9.352
In -0.009 -3.155 3.297
Ho 0.000 0.000 0.000
```

Computed properties:
The formation energy from the elements comes out at -36 kJ per mole of atoms. The crystal system is tetragonal. The total energy is -42.29 eV/f.u. The total magnetization comes out at 0.00 μB per cell.